MgNi2BOs: relaxed, PBE.

For the spin magnetization, the calculation gives 0.187 μB per atom. The calculation puts the formation energy at 186 kJ/mol of atoms.

It has space group P4/mmm (No. 123), with a = 4.126 Å, b = 4.126 Å, c = 4.003 Å, α = 90.00°, β = 90.00° and γ = 90.00°. The distinct sites, in fractional coordinates, are Mg at (0.000, 0.000, 0.000), Ni at (0.000, 0.500, 0.000), B at (0.000, 0.000, 0.500) and Os at (0.500, 0.500, 0.500).

---

Mg3Ni9BP2: relaxed, PBE.

For the spin magnetization, the calculation gives 0.000 μB per atom. The calculation puts the formation energy at -26 kJ/mol of atoms.

It has space group P-3m1 (No. 164), with a = 5.9286 Å, b = 5.9286 Å, c = 6.6183 Å, α = 90.00°, β = 90.00° and γ = 120.00°. The distinct sites, in fractional coordinates, are Mg at (0.0000, 0.0000, 0.0000), Mg at (0.3333, 0.6667, 0.6541), Ni at (0.0000, 0.5000, 0.0000), Ni at (0.1428, 0.2857, 0.3151), B at (0.0000, 0.0000, 0.5000) and P at (0.3333, 0.6667, 0.2050).

---

Mg2Ni6BP: relaxed, PBE.

For the spin magnetization, the calculation gives 0.000 μB per atom. The calculation puts the formation energy at -29 kJ/mol of atoms.

It has space group Pmmn (No. 59, origin choice 2), with a = 5.228 Å, b = 7.805 Å, c = 6.276 Å, α = 90.00°, β = 90.00° and γ = 90.00°. The distinct sites, in fractional coordinates, are Mg at (0.250, 0.034, 0.220), Ni at (0.011, 0.750, 0.080), Ni at (0.018, 0.750, 0.499), Ni at (0.250, 0.006, 0.657), B at (0.250, 0.250, 0.708) and P at (0.250, 0.750, 0.800).

---

MgNiB2P: relaxed, PBE.

For the spin magnetization, the calculation gives 0.000 μB per atom. The calculation puts the formation energy at 199 kJ/mol of atoms.

It has space group P4/mmm (No. 123), with a = 4.182 Å, b = 4.182 Å, c = 4.753 Å, α = 90.00°, β = 90.00° and γ = 90.00°. The distinct sites, in fractional coordinates, are Mg at (0.000, 0.000, 0.000), Ni at (0.500, 0.500, 0.500), B at (0.000, 0.500, 0.000) and P at (0.000, 0.000, 0.500).